Entry 1:
A plane-wave DFT calculation with PBEsol was carried out for an optimized crystal structure of SrBeOs2.

Summary:
Formation enthalpy at 0 K: 1.134 eV/atom
Space group: P4/mmm (123)
N(E_F): 4.283 states/eV/cell
Magnetization: 0.00 μB per cell

Structure (extended XYZ):
```
4
Lattice="-0.819 -1.008 3.612 -3.585 -0.872 -1.056 1.279 -4.194 -0.880" Properties=species:S:1:pos:R:3 pbc="T T T"
Be 0.640 -2.097 -0.440
Sr -1.562 -3.037 0.838
Os -1.793 -0.436 -0.528
Os -0.409 -0.504 1.806
```

---

Entry 2:
A plane-wave DFT calculation with PBEsol was carried out for an optimized crystal structure of SrTa2BeOs.

Summary:
Formation enthalpy at 0 K: 3.158 eV/atom
Space group: P4/mmm (123)
N(E_F): 7.300 states/eV/cell
Magnetization: 0.03 μB per cell

Structure (extended XYZ):
```
5
Lattice="-2.626 0.541 -3.196 -3.445 -2.072 2.479 -1.266 4.200 1.751" Properties=species:S:1:pos:R:3 pbc="T T T"
Ta -1.722 -1.036 1.240
Ta -0.633 2.100 0.875
Os -3.668 1.334 0.517
Be -1.313 0.270 -1.598
Sr 0.000 0.000 0.000
```

---

Entry 3:
A plane-wave DFT calculation with PBEsol was carried out for an optimized crystal structure of TaBe4Os.

Summary:
Formation enthalpy at 0 K: -0.431 eV/atom
Space group: F-43m (216)
N(E_F): 1.236 states/eV/cell
Magnetization: 0.00 μB per cell

Structure (extended XYZ):
```
6
Lattice="-1.094 -3.101 2.955 -0.673 -4.167 -1.315 2.907 -3.154 1.073" Properties=species:S:1:pos:R:3 pbc="T T T"
Os 0.855 -7.816 2.034
Be -0.125 -5.461 2.503
Be 1.890 -5.487 1.555
Be 0.087 -5.997 0.352
Be 0.426 -3.899 1.015
Ta 0.000 0.000 0.000
```

---

Which of these has the lowest N(E_F)?
TaBe4Os